[1]
The following is a GGA-PBE calculation of an optimized crystal structure of Mg5Zn12Sn3, from Alexandria.

```
80
Lattice="-7.977 7.977 7.977 7.977 -7.977 7.977 7.977 7.977 -7.977" Properties=species:S:1:pos:R:3 pbc="T T T"
Mg 0.000 0.000 0.000
Mg 3.988 3.988 -3.988
Mg 3.988 -3.988 3.988
Mg 7.977 0.000 0.000
Mg 11.965 1.994 0.000
Mg 7.977 -3.988 5.983
Mg 5.983 7.977 -3.988
Mg 5.983 0.000 3.988
Mg 3.988 5.983 0.000
Mg 7.977 3.988 1.994
Mg -3.988 3.988 3.988
Mg 0.000 7.977 0.000
Mg 0.000 0.000 7.977
Mg 3.988 3.988 3.988
Mg 0.000 3.988 5.983
Mg 3.988 1.994 7.977
Mg 1.994 7.977 3.988
Mg 1.994 0.000 11.965
Mg 0.000 11.965 1.994
Mg -3.988 5.983 7.977
Zn 2.432 -0.032 1.236
Zn 9.533 5.225 -4.021
Zn 7.944 -1.236 2.432
Zn 11.998 -1.556 2.752
Zn 10.409 0.032 1.236
Zn 9.533 -2.752 4.021
Zn 1.236 2.432 -0.032
Zn 10.729 3.956 -1.556
Zn 5.225 4.021 -1.556
Zn 6.741 2.432 0.032
Zn -0.032 1.236 2.432
Zn 4.021 -1.556 5.225
Zn 7.944 6.741 -2.432
Zn 4.021 1.556 2.752
Zn 6.741 -2.432 7.944
Zn 5.225 -4.021 9.533
Zn 2.752 4.021 1.556
Zn 9.213 5.545 0.032
Zn 2.432 7.944 -1.236
Zn 9.533 2.752 3.956
Zn 4.021 9.533 -2.752
Zn 1.556 2.752 4.021
Zn 2.432 0.032 6.741
Zn 7.944 1.236 5.545
Zn 0.032 6.741 2.432
Zn 5.545 7.944 1.236
Zn 6.420 5.225 3.956
Zn 3.956 -1.556 10.729
Zn -1.556 5.225 4.021
Zn 5.545 0.032 9.213
Zn -1.236 2.432 7.944
Zn 5.225 3.956 6.420
Zn 2.752 11.998 -1.556
Zn 1.236 10.409 0.032
Zn 3.956 6.420 5.225
Zn 0.032 1.236 10.409
Zn 3.956 9.533 2.752
Zn 8.009 6.741 5.545
Zn 1.236 5.545 7.944
Zn 2.752 3.956 9.533
Zn -2.752 4.021 9.533
Zn 6.741 5.545 8.009
Zn -1.556 10.729 3.956
Zn -2.432 7.944 6.741
Zn -4.021 9.533 5.225
Zn 0.032 9.213 5.545
Zn -1.556 2.752 11.998
Zn 5.545 8.009 6.741
Sn 3.988 1.994 0.000
Sn 7.977 3.988 -1.994
Sn 1.994 0.000 3.988
Sn 9.971 0.000 3.988
Sn 0.000 3.988 1.994
Sn 3.988 -1.994 7.977
Sn 3.988 9.971 0.000
Sn 7.977 3.988 5.983
Sn -1.994 7.977 3.988
Sn 5.983 7.977 3.988
Sn 0.000 3.988 9.971
Sn 3.988 5.983 7.977
```

Output
Formation enthalpy at 0 K in eV per atom: 0.30
Space-group type: Ia-3d (230)
Raw total energy in eV per atom: -1.46
Total moment in μB/atom: 0.000

=====

[2]
The following is a GGA-PBE calculation of an optimized crystal structure of MgZn2Sn4, from Alexandria.

```
7
Lattice="-2.739 2.739 6.770 2.739 -2.739 6.770 2.739 2.739 -6.770" Properties=species:S:1:pos:R:3 pbc="T T T"
Mg 0.000 0.000 0.000
Zn 0.000 0.000 5.486
Zn 0.000 0.000 8.054
Sn 2.739 0.000 0.000
Sn 0.000 0.000 2.863
Sn 0.000 2.739 0.000
Sn 0.000 0.000 10.677
```

Output
Formation enthalpy at 0 K in eV per atom: 0.39
Space-group type: I4/mmm (139)
Raw total energy in eV per atom: -2.49
Total moment in μB/atom: 0.000

=====

[3]
The following is a GGA-PBE calculation of an optimized crystal structure of Mg7Zn2Sn3, from Alexandria.

```
12
Lattice="2.129 -15.787 0.000 2.129 15.787 0.000 0.000 0.000 4.259" Properties=species:S:1:pos:R:3 pbc="T T T"
Mg 0.000 0.000 0.000
Mg 2.129 13.395 2.129
Mg 2.129 8.975 0.000
Mg 2.129 2.392 0.000
Mg 2.129 -2.392 0.000
Mg 2.129 -8.975 0.000
Mg 2.129 -13.395 2.129
Zn 2.129 11.617 0.000
Zn 2.129 -11.617 0.000
Sn 2.129 4.904 2.129
Sn 2.129 0.000 2.129
Sn 2.129 -4.904 2.129
```

Output
Formation enthalpy at 0 K in eV per atom: 0.03
Space-group type: Cmmm (65)
Raw total energy in eV per atom: -2.11
Total moment in μB/atom: 0.000

=====

[4]
The following is a GGA-PBE calculation of an optimized crystal structure of Mg2ZnSn, from Alexandria.

```
4
Lattice="4.485 0.000 0.000 0.000 4.485 0.000 0.000 0.000 4.161" Properties=species:S:1:pos:R:3 pbc="T T T"
Mg 0.000 2.242 0.000
Mg 2.242 0.000 0.000
Zn 0.000 0.000 2.081
Sn 2.242 2.242 2.081
```

Output
Formation enthalpy at 0 K in eV per atom: -0.09
Space-group type: P4/mmm (123)
Raw total energy in eV per atom: -2.21
Total moment in μB/atom: 0.000

=====

[5]
The following is a GGA-PBE calculation of an optimized crystal structure of Mg5Zn4Sn, from Alexandria.

```
10
Lattice="3.160 0.000 0.000 0.000 3.160 0.000 0.000 0.000 19.311" Properties=species:S:1:pos:R:3 pbc="T T T"
Mg 0.000 0.000 0.000
Mg 0.000 0.000 3.717
Mg 0.000 0.000 7.361
Mg 0.000 0.000 11.950
Mg 0.000 0.000 15.594
Zn 1.580 1.580 1.848
Zn 1.580 1.580 5.561
Zn 1.580 1.580 13.750
Zn 1.580 1.580 17.463
Sn 1.580 1.580 9.655
```

Output
Formation enthalpy at 0 K in eV per atom: -0.08
Space-group type: P4/mmm (123)
Raw total energy in eV per atom: -1.79
Total moment in μB/atom: 0.000

=====

[6]
The following is a GGA-PBE calculation of an optimized crystal structure of MgZnSn, from Alexandria.

```
6
Lattice="4.350 0.000 0.000 2.169 5.684 0.000 2.164 2.123 5.302" Properties=species:S:1:pos:R:3 pbc="T T T"
Mg 0.000 0.000 0.000
Mg 2.164 3.703 2.518
Zn 4.335 3.992 4.445
Zn 4.338 5.592 2.053
Sn 4.342 1.448 2.964
Sn 4.345 3.273 0.253
```

Output
Formation enthalpy at 0 K in eV per atom: 0.01
Space-group type: P1 (1)
Raw total energy in eV per atom: -2.28
Total moment in μB/atom: 0.000